# HfGaSe2N

A relaxed structure of HfGaSe2N (PBE-GGA, the Alexandria database).

Values from the calculation:
Fermi-level density of states = 0.7146 states/eV/atom
ΔE_f (raw) = 0.31 eV/atom
Magnetic moment = 0.470 Bohr magnetons per cell
Crystal system = tetragonal

Lattice parameters (Å, degrees): 5.077 5.077 3.602 90.00 90.00 90.00
Fractional coordinates of all 5 atoms:
Hf (0.000, 0.000, 0.000)
Ga (0.500, 0.500, 0.500)
Se (0.000, 0.500, 0.500)
Se (0.500, 0.000, 0.500)
N (0.500, 0.500, 0.000)

***

# HfGaSe2N

A relaxed structure of HfGaSe2N (PBE-GGA, the Alexandria database).

Values from the calculation:
Fermi-level density of states = 0.6693 states/eV/atom
ΔE_f (raw) = -0.22 eV/atom
Magnetic moment = 1.659 Bohr magnetons per cell
Crystal system = tetragonal

Lattice parameters (Å, degrees): 5.303 5.303 4.145 90.00 90.00 90.00
Fractional coordinates of all 5 atoms:
Hf (0.000, 0.000, 0.000)
Ga (0.500, 0.500, 0.500)
Se (0.000, 0.500, 0.000)
Se (0.500, 0.000, 0.000)
N (0.000, 0.000, 0.500)

***

# Sr2HfGaN

A relaxed structure of Sr2HfGaN (PBE-GGA, the Alexandria database).

Values from the calculation:
Fermi-level density of states = 0.8156 states/eV/atom
ΔE_f (raw) = 0.33 eV/atom
Magnetic moment = 0.000 Bohr magnetons per cell
Crystal system = tetragonal

Lattice parameters (Å, degrees): 6.497 6.497 4.043 90.00 90.00 90.00
Fractional coordinates of all 5 atoms:
Sr (0.000, 0.500, 0.000)
Sr (0.500, 0.000, 0.000)
Hf (0.000, 0.000, 0.000)
Ga (0.500, 0.500, 0.500)
N (0.000, 0.000, 0.500)

***

# SrHfGaN3

A relaxed structure of SrHfGaN3 (PBE-GGA, the Alexandria database).

Values from the calculation:
Fermi-level density of states = 0.0000 states/eV/atom
ΔE_f (raw) = -0.95 eV/atom
Magnetic moment = 0.000 Bohr magnetons per cell
Crystal system = monoclinic

Lattice parameters (Å, degrees): 7.035 3.296 8.342 90.00 100.28 90.00
Fractional coordinates of all 12 atoms:
Sr (0.185, 0.250, 0.227)
Sr (0.815, 0.750, 0.773)
Hf (0.348, 0.750, 0.881)
Hf (0.652, 0.250, 0.119)
Ga (0.126, 0.250, 0.597)
Ga (0.874, 0.750, 0.403)
N (0.144, 0.250, 0.835)
N (0.177, 0.750, 0.486)
N (0.431, 0.750, 0.125)
N (0.569, 0.250, 0.875)
N (0.823, 0.250, 0.514)
N (0.856, 0.750, 0.165)

***

# Hf2TaGaN

A relaxed structure of Hf2TaGaN (PBE-GGA, the Alexandria database).

Values from the calculation:
Fermi-level density of states = 0.4926 states/eV/atom
ΔE_f (raw) = -0.67 eV/atom
Magnetic moment = 0.000 Bohr magnetons per cell
Crystal system = tetragonal

Lattice parameters (Å, degrees): 3.683 3.683 12.043 90.00 90.00 90.00
Fractional coordinates of all 10 atoms:
Hf (0.250, 0.250, 0.089)
Hf (0.250, 0.250, 0.738)
Hf (0.750, 0.750, 0.262)
Hf (0.750, 0.750, 0.911)
Ta (0.250, 0.750, 0.500)
Ta (0.750, 0.250, 0.500)
Ga (0.250, 0.250, 0.327)
Ga (0.750, 0.750, 0.673)
N (0.250, 0.250, 0.913)
N (0.750, 0.750, 0.087)

***

# HfGaTe2N

A relaxed structure of HfGaTe2N (PBE-GGA, the Alexandria database).

Values from the calculation:
Fermi-level density of states = 0.7319 states/eV/atom
ΔE_f (raw) = -0.07 eV/atom
Magnetic moment = 0.000 Bohr magnetons per cell
Crystal system = tetragonal

Lattice parameters (Å, degrees): 5.819 5.819 3.974 90.00 90.00 90.00
Fractional coordinates of all 5 atoms:
Hf (0.000, 0.000, 0.000)
Ga (0.500, 0.500, 0.500)
Te (0.000, 0.500, 0.000)
Te (0.500, 0.000, 0.000)
N (0.000, 0.000, 0.500)

***

# HfGaTe2N

A relaxed structure of HfGaTe2N (PBE-GGA, the Alexandria database).

Values from the calculation:
Fermi-level density of states = 0.8322 states/eV/atom
ΔE_f (raw) = 0.52 eV/atom
Magnetic moment = 0.000 Bohr magnetons per cell
Crystal system = tetragonal

Lattice parameters (Å, degrees): 5.568 5.568 3.556 90.00 90.00 90.00
Fractional coordinates of all 5 atoms:
Hf (0.000, 0.000, 0.000)
Ga (0.500, 0.500, 0.500)
Te (0.000, 0.500, 0.500)
Te (0.500, 0.000, 0.500)
N (0.500, 0.500, 0.000)

***

# HfTi2GaN

A relaxed structure of HfTi2GaN (PBE-GGA, the Alexandria database).

Values from the calculation:
Fermi-level density of states = 0.6708 states/eV/atom
ΔE_f (raw) = -0.94 eV/atom
Magnetic moment = 0.000 Bohr magnetons per cell
Crystal system = tetragonal

Lattice parameters (Å, degrees): 4.085 4.085 4.477 90.00 90.00 90.00
Fractional coordinates of all 5 atoms:
Hf (0.000, 0.000, 0.000)
Ti (0.000, 0.500, 0.500)
Ti (0.500, 0.000, 0.500)
Ga (0.500, 0.500, 0.000)
N (0.000, 0.000, 0.500)